Record 1
NaGe2Ru: relaxed, GGA-PBE.

Results
- DOS(E_F) (states/eV/atom) = 0.47
- calculated volume (Å³ per cell) = 73.75
- symmetry = R-3m, No. 166
- relative energy among the computed polymorphs (eV per atom) = 0.088
- total magnetization (μB per formula unit) = 0.00
- calculated density (g/cm3) = 6.1

Lattice parameters (Å, degrees): 8.953 8.953 8.953 20.04 20.04 20.04
Element x y z (fractional)
Na 0.000 0.000 0.000
Ge 0.236 0.236 0.236
Ge 0.764 0.764 0.764
Ru 0.500 0.500 0.500



Record 2
NaGe2Ru: relaxed, GGA-PBE.

Results
- DOS(E_F) (states/eV/atom) = 0.56
- calculated volume (Å³ per cell) = 66.79
- symmetry = Fm-3m, No. 225
- relative energy among the computed polymorphs (eV per atom) = 0.278
- total magnetization (μB per formula unit) = 0.00
- calculated density (g/cm3) = 6.7

Lattice parameters (Å, degrees): 4.554 4.554 4.554 60.00 60.00 60.00
Element x y z (fractional)
Na 0.000 0.000 0.000
Ge 0.250 0.250 0.250
Ge 0.750 0.750 0.750
Ru 0.500 0.500 0.500



Record 3
Na3GeRu: relaxed, GGA-PBE.

Results
- DOS(E_F) (states/eV/atom) = 0.85
- calculated volume (Å³ per cell) = 149.74
- symmetry = Pm-3m, No. 221
- relative energy among the computed polymorphs (eV per atom) = 0.014
- total magnetization (μB per formula unit) = 1.41
- calculated density (g/cm3) = 2.7

Lattice parameters (Å, degrees): 5.310 5.310 5.310 90.00 90.00 90.00
Element x y z (fractional)
Na 0.000 0.000 0.500
Na 0.000 0.500 0.000
Na 0.500 0.000 0.000
Ge 0.500 0.500 0.500
Ru 0.000 0.000 0.000



Record 4
NaGeRu2: relaxed, GGA-PBE.

Results
- DOS(E_F) (states/eV/atom) = 0.75
- calculated volume (Å³ per cell) = 157.59
- symmetry = I-42d, No. 122
- total magnetization (μB per formula unit) = 0.00
- raw total energy (eV/atom) = -5.477
- calculated density (g/cm3) = 6.3

Lattice parameters (Å, degrees): 9.552 9.552 9.552 154.82 154.82 35.91
Element x y z (fractional)
Na 0.000 0.000 0.000
Na 0.750 0.250 0.500
Ge 0.250 0.750 0.500
Ge 0.500 0.500 0.000
Ru 0.244 0.625 0.119
Ru 0.375 0.494 0.619
Ru 0.506 0.125 0.881
Ru 0.875 0.756 0.381



Record 5
NaScGe2Ru: relaxed, GGA-PBE.

Results
- DOS(E_F) (states/eV/atom) = 0.61
- calculated volume (Å³ per cell) = 115.68
- symmetry = P4/mmm, No. 123
- total magnetization (μB per formula unit) = 0.00
- raw total energy (eV/atom) = -5.254
- calculated density (g/cm3) = 4.5

Lattice parameters (Å, degrees): 4.854 4.854 4.910 90.00 90.00 90.00
Element x y z (fractional)
Na 0.000 0.000 0.000
Sc 0.500 0.500 0.000
Ge 0.000 0.500 0.500
Ge 0.500 0.000 0.500
Ru 0.500 0.500 0.500



Record 6
Na8GeS6: relaxed, GGA-PBE.

Results
- DOS(E_F) (states/eV/atom) = 0.00
- calculated volume (Å³ per cell) = 704.55
- symmetry = Pmn2_1, No. 31
- total magnetization (μB per formula unit) = 0.00
- raw total energy (eV/atom) = -3.629
- calculated density (g/cm3) = 2.1

Lattice parameters (Å, degrees): 8.445 7.690 10.848 90.00 90.00 90.00
Element x y z (fractional)
Na 0.000 0.137 0.000
Na 0.000 0.197 0.507
Na 0.174 0.510 0.141
Na 0.183 0.677 0.849
Na 0.192 0.937 0.228
Na 0.308 0.063 0.728
Na 0.317 0.323 0.349
Na 0.326 0.490 0.641
Na 0.500 0.803 0.007
Na 0.500 0.863 0.500
Na 0.674 0.490 0.641
Na 0.683 0.323 0.349
Na 0.692 0.063 0.728
Na 0.808 0.937 0.228
Na 0.817 0.677 0.849
Na 0.826 0.510 0.141
Ge 0.000 0.702 0.535
Ge 0.500 0.298 0.035
S 0.000 0.236 0.260
S 0.000 0.475 0.668
S 0.000 0.780 0.046
S 0.000 0.929 0.668
S 0.220 0.688 0.420
S 0.280 0.312 0.920
S 0.500 0.071 0.168
S 0.500 0.220 0.546
S 0.500 0.525 0.168
S 0.500 0.764 0.760
S 0.720 0.312 0.920
S 0.780 0.688 0.420



What did the fifth record say?
NaScGe2Ru: relaxed, GGA-PBE.

Results
- DOS(E_F) (states/eV/atom) = 0.61
- calculated volume (Å³ per cell) = 115.68
- symmetry = P4/mmm, No. 123
- total magnetization (μB per formula unit) = 0.00
- raw total energy (eV/atom) = -5.254
- calculated density (g/cm3) = 4.5

Lattice parameters (Å, degrees): 4.854 4.854 4.910 90.00 90.00 90.00
Element x y z (fractional)
Na 0.000 0.000 0.000
Sc 0.500 0.500 0.000
Ge 0.000 0.500 0.500
Ge 0.500 0.000 0.500
Ru 0.500 0.500 0.500